Ca2Pr6Ho: optimized geometry, GGA-PBE.

```
Ca2Pr6Ho
1.0
7.046 0.000 0.000
3.044 9.125 0.000
2.991 3.706 10.251
Ca Pr Ho
4 12 2
direct
0.113 0.138 0.019
0.222 0.528 0.205
0.778 0.472 0.795
0.887 0.862 0.981
0.108 0.138 0.358
0.116 0.136 0.678
0.229 0.535 0.865
0.231 0.523 0.538
0.453 0.800 0.247
0.456 0.807 0.900
0.544 0.193 0.100
0.547 0.200 0.753
0.769 0.477 0.462
0.771 0.465 0.135
0.884 0.864 0.322
0.892 0.862 0.642
0.440 0.809 0.570
0.560 0.191 0.430
```

Summary:
- Energy: -73.5 eV for the cell shown
- Energy of formation from the pure elements: 0.058 eV/atom